1.
PaSb2Pt | GGA-PBE | optimized geometry

Geometry as POSCAR:
```
PaSb2Pt
1.0
3.231 0.000 0.000
1.616 2.798 0.000
1.616 0.933 10.461
Sb Pt Pa
2 1 1
Cartesian
4.847 2.798 2.580
1.616 0.933 7.881
0.000 0.000 0.000
3.231 1.866 5.231
```

Calculated values
The formation energy (no corrections) is -0.15 eV/f.u.

---

2.
Zr2TaCo | GGA-PBE | optimized geometry

Geometry as POSCAR:
```
Zr2TaCo
1.0
0.000 3.314 3.314
3.314 0.000 3.314
3.314 3.314 0.000
Ta Zr Co
1 2 1
Cartesian
3.314 3.314 3.314
1.657 1.657 1.657
4.970 4.970 4.970
0.000 0.000 0.000
```

Calculated values
The value obtained for the formation enthalpy at 0 K is 101 meV per atom. Its excess energy over the best structure of this formula in the dataset is 0.185 eV per atom.

---

3.
Li3HPb | GGA-PBE | optimized geometry

Geometry as POSCAR:
```
Li3HPb
1.0
-1.227 2.310 2.341
-1.848 -5.682 2.007
6.468 -0.915 4.292
Li Pb H
6 2 2
Cartesian
4.008 -1.165 5.881
-0.614 -3.123 2.759
3.771 -1.182 3.142
-0.377 -3.106 5.498
0.296 -0.796 0.940
3.098 -3.492 7.700
2.354 -3.687 4.872
1.039 -0.601 3.769
-1.824 -2.762 4.402
5.217 -1.525 4.239
```

Calculated values
Its excess energy over the best structure of this formula in the dataset is 0.054 eV per atom.